[1]
Below is an optimized crystal structure of VBS2N, with properties calculated at the PBE level.

a b c (Å): 4.9700 4.9700 2.6745
angles (deg): 90.00 90.00 90.00
Closest atoms and distances in Å follow each position.
Space group P4/mmm (No. 123)
One atom of each set of equivalent atoms:
V: 0.0000 0.0000 0.0000 x1  2 V 2.67, 8 S 2.82
B: 0.5000 0.5000 0.5000 x1  2 N 1.34
S: 0.0000 0.5000 0.5000 x2  2 B 2.49, 2 S 2.67
N: 0.5000 0.5000 0.0000 x1  2 B 1.34

## Properties
- Raw formation energy: 1.6 eV per formula unit

[2]
Below is an optimized crystal structure of BWSN2, with properties calculated at the PBE level.

a b c (Å): 3.8619 3.8619 5.0037
angles (deg): 90.00 90.00 90.00
Closest atoms and distances in Å follow each position.
Space group P4/mmm (No. 123)
One atom of each set of equivalent atoms:
B: 0.0000 0.0000 0.0000 x1  4 S 2.73
W: 0.5000 0.5000 0.5000 x1  4 N 1.93
S: 0.5000 0.5000 0.0000 x1  2 W 2.50, 4 B 2.73
N: 0.0000 0.5000 0.5000 x2  2 W 1.93

## Properties
- Raw formation energy: 5.6 eV per formula unit

[3]
Below is an optimized crystal structure of BWSN2, with properties calculated at the PBE level.

a b c (Å): 3.4741 3.4741 4.0545
angles (deg): 90.00 90.00 90.00
Closest atoms and distances in Å follow each position.
Space group P4/mmm (No. 123)
One atom of each set of equivalent atoms:
B: 0.0000 0.0000 0.0000 x1  4 N 1.74
W: 0.5000 0.5000 0.5000 x1  4 S 2.46, 8 N 2.67
S: 0.0000 0.0000 0.5000 x1  2 B 2.03
N: 0.0000 0.5000 0.0000 x2  2 B 1.74

## Properties
- Raw formation energy: 7.0 eV per formula unit

Number 1: calculated density 3.52 g/cm³, spin magnetization 2.2 μB/cell, energy above the most stable polymorph in this dataset 0 meV/atom. Number 2: calculated density 5.67 g/cm³, spin magnetization 0.0 μB/cell, energy above the most stable polymorph in this dataset 0 meV/atom. Number 3: calculated density 8.64 g/cm³, spin magnetization 0.0 μB/cell, energy above the most stable polymorph in this dataset 272 meV/atom.